# 1
8
Lattice="-2.719 2.719 3.744 2.719 -2.719 3.744 2.719 2.719 -3.744" Properties=species:S:1:pos:R:3 comment="PBE with a Hubbard U Li2TlVO4, optimized geometry" magnetic_moment_mub_per_atom=0.0000 total_energy_ev_per_cell=-47.83 space_group="No. 121" pbc="T T T"
Li 2.719 0.000 1.872
Li 0.000 2.719 1.872
Tl 0.000 0.000 0.000
V 0.000 0.000 3.744
O 1.729 1.729 -1.055
O 0.990 -0.990 4.800
O 0.990 0.990 2.689
O -0.990 0.990 4.800



# 2
11
Lattice="3.051 1.761 5.426 -3.051 1.761 5.426 0.000 -3.522 5.426" Properties=species:S:1:pos:R:3 comment="PBE with a Hubbard U LiTl2V2O6, optimized geometry" magnetic_moment_mub_per_atom=0.0909 total_energy_ev_per_cell=-66.16 space_group="No. 166" pbc="T T T"
Li 0.000 0.000 0.000
Tl 0.000 0.000 3.388
Tl 0.000 0.000 12.890
V 0.000 0.000 6.700
V 0.000 0.000 9.578
O 0.000 -1.711 6.715
O -1.482 0.856 6.715
O -1.482 -0.856 9.562
O 1.482 0.856 6.715
O 1.482 -0.856 9.562
O 0.000 1.711 9.562



# 3
12
Lattice="2.748 1.587 7.887 -2.748 1.587 7.887 0.000 -3.174 7.887" Properties=species:S:1:pos:R:3 comment="PBE with a Hubbard U Li2TlV2O7, optimized geometry" magnetic_moment_mub_per_atom=0.0601 total_energy_ev_per_cell=-76.58 space_group="No. 155" pbc="T T T"
Li 0.000 0.000 5.571
Li 0.000 0.000 18.091
Tl 0.000 0.000 11.831
V 0.000 0.000 1.805
V 0.000 0.000 21.857
O 0.000 0.000 0.000
O -0.858 -1.798 10.284
O -1.128 -1.642 13.378
O -1.128 1.642 10.284
O -0.858 1.798 13.378
O 1.987 0.156 10.284
O 1.987 -0.156 13.378



# 4
12
Lattice="2.870 -5.230 0.000 2.870 5.230 0.000 -0.935 0.000 6.014" Properties=species:S:1:pos:R:3 comment="PBE with a Hubbard U Li2Tl3WO6, optimized geometry" magnetic_moment_mub_per_atom=0.0000 total_energy_ev_per_cell=-64.31 space_group="No. 12" pbc="T T T"
Li 2.870 3.030 0.000
Li 2.870 -3.030 0.000
Tl -0.468 0.000 3.007
Tl 2.403 1.862 3.007
Tl 2.403 -1.862 3.007
W 2.870 0.000 0.000
O 0.844 1.411 5.199
O 1.704 0.000 1.615
O 0.844 -1.411 5.199
O 3.961 1.411 0.815
O 3.101 0.000 4.400
O 3.961 -1.411 0.815



# 5
5
Lattice="5.262 0.000 0.000 0.000 5.262 0.000 0.000 0.000 3.325" Properties=species:S:1:pos:R:3 comment="PBE with a Hubbard U LiTl2WO, optimized geometry" magnetic_moment_mub_per_atom=0.3408 total_energy_ev_per_cell=-18.01 space_group="No. 123" pbc="T T T"
Li 0.000 0.000 0.000
Tl 0.000 2.631 1.662
Tl 2.631 0.000 1.662
W 2.631 2.631 0.000
O 0.000 0.000 1.662



# 6
12
Lattice="-3.591 3.591 3.363 3.591 -3.591 3.363 3.591 3.591 -3.363" Properties=species:S:1:pos:R:3 comment="PBE with a Hubbard U LiTlW2O8, optimized geometry" magnetic_moment_mub_per_atom=0.0000 total_energy_ev_per_cell=-77.06 space_group="No. 119" pbc="T T T"
Li 0.000 0.000 0.000
Tl 0.000 3.591 1.682
W 3.591 0.000 1.682
W 0.000 0.000 3.363
O 2.140 0.000 0.577
O 5.041 0.000 0.577
O 3.591 2.142 -1.083
O 3.591 -1.451 2.786
O 0.000 1.449 2.281
O 3.591 1.451 2.786
O 2.142 3.591 1.083
O 1.449 0.000 4.446



Short version: volume = 13.84, 15.90, 17.20, 15.05, 18.41, 14.45 A^3/atom, in the order given.